This record from the Alexandria database describes a geometry-optimized K6Hg23Au structure. The functional is PBE.

**Energy relative to the elements**: -0.1855 eV per atom
**Total magnetic moment**: 0.0 μB/f.u.

```
K6Hg23Au
1.0
0.000 7.661 7.661
7.661 0.000 7.661
7.661 7.661 0.000
K Hg Au
6 23 1
Direct
0.218 0.218 0.782
0.218 0.782 0.218
0.218 0.782 0.782
0.782 0.218 0.218
0.782 0.218 0.782
0.782 0.782 0.218
0.000 0.000 0.500
0.000 0.500 0.000
0.000 0.500 0.500
0.144 0.619 0.619
0.167 0.167 0.167
0.167 0.167 0.498
0.167 0.498 0.167
0.381 0.381 0.381
0.381 0.381 0.856
0.381 0.856 0.381
0.498 0.167 0.167
0.500 0.000 0.000
0.500 0.000 0.500
0.500 0.500 0.000
0.500 0.500 0.500
0.502 0.833 0.833
0.619 0.144 0.619
0.619 0.619 0.144
0.619 0.619 0.619
0.833 0.502 0.833
0.833 0.833 0.502
0.833 0.833 0.833
0.856 0.381 0.381
0.000 0.000 0.000
```